# 1
Ca4Ac3Au4: optimized geometry, PBE.

- magnetic moment (μB/cell) = 0.000
- raw total energy (eV per cell) = -80.20
- formation energy from the elements (eV/atom) = -0.61

Cell lengths 4.090, 9.350, 18.086 Å; angles 90.00, 90.00, 90.00 degrees
Space group Immm (No. 71)
Asymmetric unit:
Ca 0.000 0.183 0.172 [8 per cell]
Ac 0.000 0.000 0.400 [4 per cell]
Ac 0.000 0.500 0.500 [2 per cell]
Au 0.000 0.283 0.000 [4 per cell]
Au 0.000 0.500 0.241 [4 per cell]


# 2
CaAc2Au2: optimized geometry, PBE.

- magnetic moment (μB/cell) = 0.000
- raw total energy (eV per cell) = -40.47
- formation energy from the elements (eV/atom) = -0.69

Cell lengths 8.640, 8.640, 4.252 Å; angles 90.00, 90.00, 90.00 degrees
Space group P4/mbm (No. 127)
Asymmetric unit:
Ca 0.000 0.000 0.000 [2 per cell]
Ac 0.162 0.338 0.500 [4 per cell]
Au 0.136 0.636 0.000 [4 per cell]


# 3
CaAc3Au2: optimized geometry, PBE.

- energy above the most stable polymorph in this dataset (eV/atom) = 0.060
- magnetic moment (μB/cell) = 0.000
- raw total energy (eV per cell) = -94.81
- formation energy from the elements (eV/atom) = -0.47

Cell lengths 7.489, 15.015, 8.036 Å; angles 90.00, 90.00, 90.00 degrees
Space group Ibam (No. 72)
Asymmetric unit:
Ca 0.000 0.000 0.000 [4 per cell]
Ac 0.000 0.228 0.250 [8 per cell]
Ac 0.000 0.500 0.250 [4 per cell]
Au 0.203 0.360 0.000 [8 per cell]


# 4
Ca2AcAu: optimized geometry, PBE.

- energy above the most stable polymorph in this dataset (eV/atom) = 0.071
- magnetic moment (μB/cell) = 0.000
- raw total energy (eV per cell) = -12.85
- formation energy from the elements (eV/atom) = -0.37

Cell lengths 3.751, 3.751, 9.472 Å; angles 90.00, 90.00, 90.00 degrees
Space group P4/mmm (No. 123)
Asymmetric unit:
Ca 0.000 0.000 0.180 [2 per cell]
Ac 0.500 0.500 0.500 [1 per cell]
Au 0.500 0.500 0.000 [1 per cell]


# 5
CaAc2Au: optimized geometry, PBE.

- energy above the most stable polymorph in this dataset (eV/atom) = 0.537
- magnetic moment (μB/cell) = 0.000
- raw total energy (eV per cell) = -38.69
- formation energy from the elements (eV/atom) = 0.15

Cell lengths 3.9167, 3.9167, 37.1491 Å; angles 90.00, 90.00, 120.00 degrees
Space group R-3m (No. 166, hexagonal axes)
Asymmetric unit:
Ca 0.0000 0.0000 0.0000 [3 per cell]
Ac 0.0000 0.0000 0.4200 [6 per cell]
Au 0.0000 0.0000 0.5000 [3 per cell]


# 6
CaAc3Au2: optimized geometry, PBE.

- energy above the most stable polymorph in this dataset (eV/atom) = 0.000
- magnetic moment (μB/cell) = 0.000
- raw total energy (eV per cell) = -48.13
- formation energy from the elements (eV/atom) = -0.53

Cell lengths 4.082, 10.887, 9.548 Å; angles 90.00, 90.00, 90.00 degrees
Space group Pmc2_1 (No. 26)
Asymmetric unit:
Ca 0.000 0.061 0.000 [2 per cell]
Ac 0.000 0.272 0.677 [2 per cell]
Ac 0.500 0.217 0.327 [2 per cell]
Ac 0.500 0.440 0.995 [2 per cell]
Au 0.000 0.436 0.270 [2 per cell]
Au 0.500 0.055 0.722 [2 per cell]


# 7
Ca2AcAu9: optimized geometry, PBE.

- magnetic moment (μB/cell) = 0.000
- raw total energy (eV per cell) = -133.10
- formation energy from the elements (eV/atom) = -0.56

Cell lengths 5.6958, 5.6958, 28.1927 Å; angles 90.00, 90.00, 120.00 degrees
Space group R-3m (No. 166, hexagonal axes)
Asymmetric unit:
Ca 0.0000 0.0000 0.1440 [6 per cell]
Ac 0.0000 0.0000 0.0000 [3 per cell]
Au 0.0000 0.0000 0.3326 [6 per cell]
Au 0.0000 0.0000 0.5000 [3 per cell]
Au 0.0031 0.5016 0.9141 [18 per cell]


# 8
CaAc4Au5: optimized geometry, PBE.

- magnetic moment (μB/cell) = 0.000
- raw total energy (eV per cell) = -42.49
- formation energy from the elements (eV/atom) = -0.77

Cell lengths 3.850, 3.850, 19.472 Å; angles 90.00, 90.00, 90.00 degrees
Space group P4/mmm (No. 123)
Asymmetric unit:
Ca 0.000 0.000 0.000 [1 per cell]
Ac 0.000 0.000 0.192 [2 per cell]
Ac 0.000 0.000 0.398 [2 per cell]
Au 0.500 0.500 0.093 [2 per cell]
Au 0.500 0.500 0.295 [2 per cell]
Au 0.500 0.500 0.500 [1 per cell]


# 9
Ca2AcAu: optimized geometry, PBE.

- energy above the most stable polymorph in this dataset (eV/atom) = 0.000
- magnetic moment (μB/cell) = 0.000
- raw total energy (eV per cell) = -52.55
- formation energy from the elements (eV/atom) = -0.44

Cell lengths 7.768, 10.973, 6.556 Å; angles 90.00, 90.00, 90.00 degrees
Space group Pnma (No. 62)
Asymmetric unit:
Ca 0.177 0.064 0.164 [8 per cell]
Ac 0.033 0.250 0.639 [4 per cell]
Au 0.110 0.750 0.905 [4 per cell]


# 10
CaAcAu3: optimized geometry, PBE.

- energy above the most stable polymorph in this dataset (eV/atom) = 0.000
- magnetic moment (μB/cell) = 0.000
- raw total energy (eV per cell) = -79.96
- formation energy from the elements (eV/atom) = -0.81

Cell lengths 3.926, 28.266, 4.747 Å; angles 90.00, 90.00, 90.00 degrees
Space group Cmcm (No. 63)
Asymmetric unit:
Ca 0.000 0.208 0.250 [4 per cell]
Ac 0.000 0.075 0.750 [4 per cell]
Au 0.000 0.317 0.250 [4 per cell]
Au 0.000 0.375 0.750 [4 per cell]
Au 0.000 0.474 0.750 [4 per cell]


# 11
CaAc2Au: optimized geometry, PBE.

- energy above the most stable polymorph in this dataset (eV/atom) = 0.177
- magnetic moment (μB/cell) = 0.000
- raw total energy (eV per cell) = -14.34
- formation energy from the elements (eV/atom) = -0.21

Cell lengths 5.694, 5.694, 4.239 Å; angles 90.00, 90.00, 90.00 degrees
Space group P4/mmm (No. 123)
Asymmetric unit:
Ca 0.000 0.000 0.000 [1 per cell]
Ac 0.000 0.500 0.500 [2 per cell]
Au 0.500 0.500 0.000 [1 per cell]


# 12
CaAc2Au: optimized geometry, PBE.

- energy above the most stable polymorph in this dataset (eV/atom) = 0.000
- magnetic moment (μB/cell) = 0.001
- raw total energy (eV per cell) = -60.19
- formation energy from the elements (eV/atom) = -0.39

Cell lengths 4.197, 13.588, 10.293 Å; angles 90.00, 90.00, 90.00 degrees
Space group Cmcm (No. 63)
Asymmetric unit:
Ca 0.000 0.076 0.250 [4 per cell]
Ac 0.000 0.362 0.061 [8 per cell]
Au 0.000 0.249 0.750 [4 per cell]


# 13
Ca2Ac2Au3: optimized geometry, PBE.

- magnetic moment (μB/cell) = 0.000
- raw total energy (eV per cell) = -106.41
- formation energy from the elements (eV/atom) = -0.65

Cell lengths 16.389, 4.718, 13.888 Å; angles 90.00, 125.61, 90.00 degrees
Space group C2/m (No. 12)
Asymmetric unit:
Ca 0.073 0.000 0.156 [4 per cell]
Ca 0.231 0.500 0.155 [4 per cell]
Ac 0.080 0.500 0.803 [4 per cell]
Ac 0.150 0.500 0.544 [4 per cell]
Au 0.047 0.000 0.625 [4 per cell]
Au 0.161 0.000 0.997 [4 per cell]
Au 0.168 0.500 0.323 [4 per cell]


# 14
Ca2AcAu: optimized geometry, PBE.

- energy above the most stable polymorph in this dataset (eV/atom) = 0.224
- magnetic moment (μB/cell) = 0.000
- raw total energy (eV per cell) = -36.72
- formation energy from the elements (eV/atom) = -0.21

Cell lengths 3.9387, 3.9387, 33.9938 Å; angles 90.00, 90.00, 120.00 degrees
Space group R-3m (No. 166, hexagonal axes)
Asymmetric unit:
Ca 0.0000 0.0000 0.1111 [6 per cell]
Ac 0.0000 0.0000 0.0000 [3 per cell]
Au 0.0000 0.0000 0.5000 [3 per cell]


# 15
Ca5AcAu6: optimized geometry, PBE.

- magnetic moment (μB/cell) = 0.000
- raw total energy (eV per cell) = -43.17
- formation energy from the elements (eV/atom) = -0.78

Cell lengths 5.223, 7.398, 8.235 Å; angles 90.00, 108.32, 90.00 degrees
Space group P2/m (No. 10)
Asymmetric unit:
Ca 0.000 0.000 0.000 [1 per cell]
Ca 0.329 0.500 0.657 [2 per cell]
Ca 0.334 0.000 0.667 [2 per cell]
Ac 0.000 0.500 0.000 [1 per cell]
Au 0.168 0.244 0.336 [4 per cell]
Au 0.500 0.242 0.000 [2 per cell]


# 16
CaAcAu4: optimized geometry, PBE.

- energy above the most stable polymorph in this dataset (eV/atom) = 0.048
- magnetic moment (μB/cell) = 0.000
- raw total energy (eV per cell) = -47.06
- formation energy from the elements (eV/atom) = -0.72

Cell lengths 4.182, 4.182, 18.067 Å; angles 90.00, 90.00, 90.00 degrees
Space group I-4m2 (No. 119)
Asymmetric unit:
Ca 0.000 0.000 0.000 [2 per cell]
Ac 0.000 0.500 0.250 [2 per cell]
Au 0.000 0.000 0.426 [4 per cell]
Au 0.000 0.500 0.672 [4 per cell]


# 17
CaAc2Au: optimized geometry, PBE.

- energy above the most stable polymorph in this dataset (eV/atom) = 0.041
- magnetic moment (μB/cell) = 0.000
- raw total energy (eV per cell) = -14.88
- formation energy from the elements (eV/atom) = -0.35

Cell lengths 3.939, 3.939, 9.710 Å; angles 90.00, 90.00, 90.00 degrees
Space group P4/mmm (No. 123)
Asymmetric unit:
Ca 0.000 0.000 0.000 [1 per cell]
Ac 0.500 0.500 0.309 [2 per cell]
Au 0.000 0.000 0.500 [1 per cell]


# 18
CaAc2Au: optimized geometry, PBE.

- energy above the most stable polymorph in this dataset (eV/atom) = 0.106
- magnetic moment (μB/cell) = 0.000
- raw total energy (eV per cell) = -43.87
- formation energy from the elements (eV/atom) = -0.28

Cell lengths 4.1828, 4.1828, 32.1689 Å; angles 90.00, 90.00, 120.00 degrees
Space group R3m (No. 160, hexagonal axes)
Asymmetric unit:
Ca 0.0000 0.0000 0.0000 [3 per cell]
Ac 0.0000 0.0000 0.2305 [3 per cell]
Ac 0.0000 0.0000 0.4355 [3 per cell]
Au 0.0000 0.0000 0.8331 [3 per cell]


# 19
Ca3AcAu: optimized geometry, PBE.

- magnetic moment (μB/cell) = 0.000
- raw total energy (eV per cell) = -14.60
- formation energy from the elements (eV/atom) = -0.24

Cell lengths 5.794, 5.794, 5.794 Å; angles 90.00, 90.00, 90.00 degrees
Space group Pm-3m (No. 221)
Asymmetric unit:
Ca 0.000 0.000 0.500 [3 per cell]
Ac 0.500 0.500 0.500 [1 per cell]
Au 0.000 0.000 0.000 [1 per cell]


# 20
Ca4AcAu2: optimized geometry, PBE.

- magnetic moment (μB/cell) = 0.000
- raw total energy (eV per cell) = -43.88
- formation energy from the elements (eV/atom) = -0.47

Cell lengths 8.376, 6.657, 8.792 Å; angles 90.00, 112.21, 90.00 degrees
Space group P2_1/m (No. 11)
Asymmetric unit:
Ca 0.106 0.250 0.481 [2 per cell]
Ca 0.152 0.750 0.229 [2 per cell]
Ca 0.265 0.501 0.918 [4 per cell]
Ac 0.494 0.250 0.351 [2 per cell]
Au 0.092 0.250 0.130 [2 per cell]
Au 0.479 0.250 0.749 [2 per cell]